Compound: YMgNi
Source: Alexandria
Functional: PBE-GGA
Structure: relaxed

Computed properties:
For the electronic total energy, the calculation gives -0.3502 Ry per atom. Its calculated density is 4.23 g/cm³.

Unit cell a=6.4613 b=6.4613 c=6.4613 alpha=90.00 beta=90.00 gamma=90.00
Closest atoms and distances in Å follow each position.
Space group F-43m (No. 216)
Unique sites:
Y 0.0000 0.0000 0.0000  4 Ni 2.80
Mg 0.0000 0.0000 0.5000  4 Ni 2.80
Ni 0.2500 0.2500 0.7500  4 Mg 2.80, 4 Y 2.80

Compound: Y2MgNi
Source: Alexandria
Functional: PBE-GGA
Structure: relaxed

Computed properties:
For the electronic total energy, the calculation gives -0.3797 Ry per atom. Its calculated density is 3.98 g/cm³.

Unit cell a=3.8929 b=3.8929 c=24.8665 alpha=90.00 beta=90.00 gamma=120.00
Closest atoms and distances in Å follow each position.
Space group R3m (No. 160, hexagonal axes)
Unique sites:
Y 0.0000 0.0000 0.0000  3 Ni 2.72
Y 0.0000 0.0000 0.2116  3 Ni 2.69
Mg 0.0000 0.0000 0.4405  6 Y 3.44-3.49
Ni 0.0000 0.0000 0.6048  6 Y 2.69-2.72

Compound: YMg3Ni
Source: Alexandria
Functional: PBE-GGA
Structure: relaxed

Computed properties:
For the electronic total energy, the calculation gives -0.2636 Ry per atom. Its calculated density is 3.41 g/cm³.

Unit cell a=5.3222 b=5.7878 c=7.2690 alpha=90.00 beta=106.56 gamma=90.00
Closest atoms and distances in Å follow each position.
Space group P2_1/m (No. 11)
Unique sites:
Y 0.1094 0.2500 0.4016  4 Ni 2.78-3.11
Mg 0.0179 0.2500 0.8942  1 Ni 2.74
Mg 0.4865 0.5014 0.7900  2 Ni 2.69-2.75, 2 Mg 2.88-2.91
Ni 0.3304 0.7500 0.4652  5 Mg 2.69-2.75, 2 Y 2.78-2.86

Compound: YMg2Ni
Source: Alexandria
Functional: PBE-GGA
Structure: relaxed

Computed properties:
For the electronic total energy, the calculation gives -0.2816 Ry per atom. Its calculated density is 3.85 g/cm³.

Unit cell a=4.1784 b=4.1784 c=9.6842 alpha=90.00 beta=90.00 gamma=90.00
Closest atoms and distances in Å follow each position.
Space group I4/mmm (No. 139)
Unique sites:
Y 0.0000 0.0000 0.0000  4 Ni 2.95, 8 Mg 3.20
Mg 0.0000 0.5000 0.2500  4 Mg 2.95, 4 Ni 3.20, 4 Y 3.20
Ni 0.0000 0.0000 0.5000  4 Y 2.95, 8 Mg 3.20

Compound: Y2MgNi
Source: Alexandria
Functional: PBE-GGA
Structure: relaxed

Computed properties:
For the electronic total energy, the calculation gives -0.3836 Ry per atom. Its calculated density is 4.60 g/cm³.

Unit cell a=3.4082 b=5.0735 c=10.8935 alpha=90.00 beta=90.00 gamma=90.00
Closest atoms and distances in Å follow each position.
Space group Imm2 (No. 44)
Unique sites:
Y 0.0000 0.0000 0.0000  4 Ni 3.06, 2 Mg 3.31, 4 Y 3.33-3.41
Y 0.0000 0.5000 0.1984  2 Ni 2.77
Mg 0.0000 0.5000 0.8053  2 Ni 2.70
Ni 0.0000 0.0000 0.4974  2 Mg 2.70, 2 Y 2.77

Compound: Y3Mg3Ni2
Source: Alexandria
Functional: PBE-GGA
Structure: relaxed

Computed properties:
For the electronic total energy, the calculation gives -0.3448 Ry per atom. Its calculated density is 4.13 g/cm³.

Unit cell a=17.4705 b=4.1610 c=5.1418 alpha=90.00 beta=100.38 gamma=90.00
Closest atoms and distances in Å follow each position.
Space group C2/m (No. 12)
Unique sites:
Y 0.0000 0.0000 0.0000  8 Mg 3.19-3.31
Y 0.1692 0.0000 0.5940  4 Ni 2.76-2.91
Mg 0.0000 0.5000 0.5000  8 Y 3.31-3.58, 4 Mg 3.50-3.55
Mg 0.1404 0.5000 0.0793  3 Ni 2.61-2.63
Ni 0.2321 0.0000 0.1263  2 Ni 2.59, 3 Mg 2.61-2.63, 2 Y 2.76-2.82

Compound: YMgNi
Source: Alexandria
Functional: PBE-GGA
Structure: relaxed

Computed properties:
For the electronic total energy, the calculation gives -0.3623 Ry per atom. Its calculated density is 4.62 g/cm³.

Unit cell a=12.6834 b=3.9240 c=7.4481 alpha=90.00 beta=90.00 gamma=90.00
Closest atoms and distances in Å follow each position.
Space group Pmma (No. 51)
Unique sites:
Y 0.0446 0.0000 0.2244  5 Ni 2.89-3.05
Y 0.2500 0.0000 0.8538  5 Ni 2.89-3.10
Mg 0.1271 0.5000 0.5661  3 Ni 2.68-2.84
Mg 0.2500 0.5000 0.2011  4 Ni 2.64-2.79
Ni 0.0910 0.5000 0.9427  1 Ni 2.46
Ni 0.2500 0.0000 0.4382  6 Mg 2.64-2.68

Compound: Y2MgNi
Source: Alexandria
Functional: PBE-GGA
Structure: relaxed

Computed properties:
For the electronic total energy, the calculation gives -0.3796 Ry per atom. Its calculated density is 4.50 g/cm³.

Unit cell a=4.0176 b=5.3725 c=8.9150 alpha=90.00 beta=90.00 gamma=90.00
Closest atoms and distances in Å follow each position.
Space group Immm (No. 71)
Unique sites:
Y 0.0000 0.0000 0.2057  2 Ni 2.72
Mg 0.0000 0.5000 0.0000  8 Y 3.25-3.30, 4 Ni 3.35
Ni 0.0000 0.5000 0.5000  4 Y 2.72

Q: electronic total energy of number 6 (Y3Mg3Ni2)?
A: -0.3448 Ry per atom